[1]
# TiFeRu3

TiFeRu3 after structural relaxation (GGA-PBEsol, Alexandria).

Geometry as POSCAR:
```
TiFeRu3
1.0
-2.447 3.540 -0.850
-3.616 -2.481 0.076
-0.420 0.743 4.303
Ru Fe Ti
3 1 1
Direct
0.000 0.500 0.000
0.000 0.000 0.500
0.500 0.000 0.000
0.500 0.500 0.500
0.000 0.000 0.000
```

Results
Formation energy from the elements, meV/atom: 1463
Total moment, μB per formula unit: 4.51

***

[2]
# Ti2FeRu

Ti2FeRu after structural relaxation (GGA-PBEsol, Alexandria).

Geometry as POSCAR:
```
Ti2FeRu
1.0
4.220 0.000 0.000
2.110 3.654 0.000
2.110 1.218 3.445
Ru Fe Ti
1 1 2
Direct
0.500 0.500 0.500
0.000 0.000 0.000
0.250 0.250 0.250
0.750 0.750 0.750
```

Results
Formation energy from the elements, meV/atom: -576
Total moment, μB per formula unit: 0.00

***

[3]
# TiFe2Ru

TiFe2Ru after structural relaxation (GGA-PBEsol, Alexandria).

Geometry as POSCAR:
```
TiFe2Ru
1.0
4.146 0.000 0.000
2.073 3.591 0.000
2.073 1.197 3.385
Ru Fe Ti
1 2 1
Direct
0.500 0.500 0.500
0.250 0.250 0.250
0.750 0.750 0.750
0.000 0.000 0.000
```

Results
Formation energy from the elements, meV/atom: -117
Total moment, μB per formula unit: 4.32